Record 1
Here is a relaxed B3C crystal from the Alexandria database. Energies are from PBE.

Structure (CIF):
```
data_B3C
_chemical_formula_sum 'B6 C2'
_space_group_name_H-M_alt 'P 1'
_space_group_IT_number 1
_space_group_name_Hall 'P 1'
_cell_length_a 11.0818
_cell_length_b 11.0818
_cell_length_c 11.0818
_cell_angle_alpha 13.85
_cell_angle_beta 13.85
_cell_angle_gamma 13.85
loop_
_atom_site_label
_atom_site_fract_x
_atom_site_fract_y
_atom_site_fract_z
B1 0.9740 0.9740 0.9740
B2 0.2556 0.2556 0.2556
C1 0.0873 0.0873 0.0873
B3 0.7558 0.7558 0.7558
B4 0.8099 0.8099 0.8099
B5 0.5575 0.5575 0.5575
C2 0.3034 0.3034 0.3034
B6 0.5065 0.5065 0.5065
```

Results
Density of states at the Fermi level = 2.5 states/eV/cell
Mass density = 2.17 g/cm3
Formation energy from the elements = 2.0 eV per formula unit
Space group = R3m, No. 160
Total magnetic moment = 0.000 μB per formula unit

---

Record 2
Here is a relaxed B7C5 crystal from the Alexandria database. Energies are from PBE.

Structure (CIF):
```
data_B7C5
_chemical_formula_sum 'B7 C5'
_space_group_name_H-M_alt 'P 1'
_space_group_IT_number 1
_space_group_name_Hall 'P 1'
_cell_length_a 5.7431
_cell_length_b 5.8440
_cell_length_c 3.8087
_cell_angle_alpha 88.50
_cell_angle_beta 92.12
_cell_angle_gamma 138.86
loop_
_atom_site_label
_atom_site_fract_x
_atom_site_fract_y
_atom_site_fract_z
C1 0.6879 0.8314 0.7406
B1 0.1357 0.3130 0.1898
C2 0.3341 0.1738 0.7636
B2 0.9755 0.4755 0.7969
B3 0.2330 0.8726 0.5447
B4 0.3841 0.7294 0.9637
C3 0.6359 0.3147 0.0159
C4 0.5124 0.0196 0.2274
B5 0.9074 0.6941 0.1957
B6 0.4348 0.4722 0.5421
C5 0.9991 0.9917 0.9827
B7 0.7598 0.1122 0.5369
```

Results
Density of states at the Fermi level = 2.6 states/eV/cell
Mass density = 2.68 g/cm3
Formation energy from the elements = 5.0 eV per formula unit
Space group = P1, No. 1
Total magnetic moment = 0.000 μB per formula unit

---

Record 3
Here is a relaxed BC crystal from the Alexandria database. Energies are from PBE.

Structure (CIF):
```
data_BC
_chemical_formula_sum 'B6 C6'
_space_group_name_H-M_alt 'P 1'
_space_group_IT_number 1
_space_group_name_Hall 'P 1'
_cell_length_a 4.4875
_cell_length_b 4.4875
_cell_length_c 8.3548
_cell_angle_alpha 118.38
_cell_angle_beta 118.38
_cell_angle_gamma 32.81
loop_
_atom_site_label
_atom_site_fract_x
_atom_site_fract_y
_atom_site_fract_z
B1 0.1992 0.1992 0.2395
C1 0.8431 0.8431 0.0270
B2 0.1673 0.1673 0.6997
B3 0.6383 0.6383 0.3539
B4 0.3365 0.3365 0.1379
C2 0.3316 0.3316 0.6550
B5 0.0229 0.0229 0.0121
C3 0.8283 0.8283 0.5546
B6 0.5106 0.5106 0.8493
C4 0.6864 0.6864 0.8362
C5 0.4588 0.4588 0.3849
C6 0.9770 0.9770 0.4997
```

Results
Density of states at the Fermi level = 2.4 states/eV/cell
Mass density = 2.87 g/cm3
Formation energy from the elements = 0.8 eV per formula unit
Space group = Cm, No. 8
Total magnetic moment = 0.000 μB per formula unit

---

Record 4
Here is a relaxed B7C5 crystal from the Alexandria database. Energies are from PBE.

Structure (CIF):
```
data_B7C5
_chemical_formula_sum 'B7 C5'
_space_group_name_H-M_alt 'P 1'
_space_group_IT_number 1
_space_group_name_Hall 'P 1'
_cell_length_a 2.6962
_cell_length_b 4.5145
_cell_length_c 6.8537
_cell_angle_alpha 92.28
_cell_angle_beta 90.00
_cell_angle_gamma 90.00
loop_
_atom_site_label
_atom_site_fract_x
_atom_site_fract_y
_atom_site_fract_z
B1 0.0000 0.6612 0.9633
B2 0.0000 0.0902 0.2339
B3 0.0000 0.6646 0.5790
B4 0.5000 0.4598 0.2138
C1 0.5000 0.1571 0.9135
B5 0.5000 0.7834 0.3626
B6 0.0000 0.2867 0.6111
C2 0.0000 0.0091 0.9970
C3 0.5000 0.4830 0.9846
B7 0.0000 0.4312 0.3616
C4 0.5000 0.1430 0.6827
C5 0.5000 0.8307 0.5969
```

Results
Density of states at the Fermi level = 1.0 states/eV/cell
Mass density = 2.70 g/cm3
Formation energy from the elements = 4.4 eV per formula unit
Space group = Pm, No. 6
Total magnetic moment = 0.000 μB per formula unit